[1]
First-principles (PBE-GGA) data for a relaxed Y7TmIn4 crystal, as listed in Alexandria.

Calculated values
Density of states at the Fermi level (states/eV/cell): 28.13
Calculated formation energy (kJ/mol of formula units): -140
Mass density (g/cm3): 5.82

abc: 14.5328 5.6573 10.4521
angles: 90.00 123.84 90.00
Space group C2/m (No. 12)
Inequivalent atoms, fractional coordinates:
Y 0.0000 0.0000 0.0000 x2
Y 0.0639 0.5000 0.3944 x4
Y 0.2106 0.5000 0.8790 x4
Y 0.2211 0.0000 0.6638 x4
Tm 0.0000 0.5000 0.0000 x2
In 0.0597 0.0000 0.7557 x4
In 0.1813 0.0000 0.3346 x4

=====

[2]
First-principles (PBE-GGA) data for a relaxed Y3Tm3In2 crystal, as listed in Alexandria.

Calculated values
Density of states at the Fermi level (states/eV/cell): 11.10
Calculated formation energy (kJ/mol of formula units): -204
Mass density (g/cm3): 7.43

abc: 4.8224 4.8363 9.6158
angles: 90.00 90.00 90.00
Space group Pmmm (No. 47)
Inequivalent atoms, fractional coordinates:
Y 0.0000 0.0000 0.0000 x1
Y 0.0000 0.0000 0.5000 x1
Y 0.5000 0.5000 0.0000 x1
Tm 0.0000 0.5000 0.2521 x2
Tm 0.5000 0.5000 0.5000 x1
In 0.5000 0.0000 0.2508 x2

=====

[3]
First-principles (PBE-GGA) data for a relaxed YTmIn4 crystal, as listed in Alexandria.

Calculated values
ΔE to the lowest computed polymorph (eV/f.u.): 0.000
Density of states at the Fermi level (states/eV/cell): 15.39
Calculated formation energy (kJ/mol of formula units): -176
Mass density (g/cm3): 7.87

abc: 8.4573 8.4573 8.4573
angles: 90.00 90.00 90.00
Space group F-43m (No. 216)
Inequivalent atoms, fractional coordinates:
Y 0.0000 0.0000 0.0000 x4
Tm 0.2500 0.2500 0.2500 x4
In 0.1250 0.1250 0.6250 x16

=====

[4]
First-principles (PBE-GGA) data for a relaxed Y6Tm8In crystal, as listed in Alexandria.

Calculated values
ΔE to the lowest computed polymorph (eV/f.u.): 2.710
Density of states at the Fermi level (states/eV/cell): 20.62
Calculated formation energy (kJ/mol of formula units): 287
Mass density (g/cm3): 6.91

abc: 9.1358 9.1358 6.6491
angles: 90.00 90.00 120.00
Space group P-3 (No. 147)
Inequivalent atoms, fractional coordinates:
Y 0.0866 0.6846 0.3992 x6
Tm 0.0153 0.3304 0.1061 x6
Tm 0.3333 0.6667 0.8238 x2
In 0.0000 0.0000 0.5000 x1

=====

[5]
First-principles (PBE-GGA) data for a relaxed YTm6In crystal, as listed in Alexandria.

Calculated values
ΔE to the lowest computed polymorph (eV/f.u.): 0.966
Density of states at the Fermi level (states/eV/cell): 34.50
Calculated formation energy (kJ/mol of formula units): 8
Mass density (g/cm3): 8.45

abc: 9.1006 9.1006 10.0019
angles: 90.00 90.00 120.00
Space group R-3 (No. 148, hexagonal axes)
Inequivalent atoms, fractional coordinates:
Y 0.0000 0.0000 0.0000 x3
Tm 0.0197 0.2583 0.7220 x18
In 0.0000 0.0000 0.5000 x3

=====

[6]
First-principles (PBE-GGA) data for a relaxed Y6Tm8In crystal, as listed in Alexandria.

Calculated values
ΔE to the lowest computed polymorph (eV/f.u.): 0.000
Density of states at the Fermi level (states/eV/cell): 57.41
Calculated formation energy (kJ/mol of formula units): 25
Mass density (g/cm3): 7.22

abc: 8.9317 8.9317 19.9701
angles: 90.00 90.00 120.00
Space group R-3 (No. 148, hexagonal axes)
Inequivalent atoms, fractional coordinates:
Y 0.0678 0.2542 0.2053 x18
Tm 0.0000 0.0000 0.0754 x6
Tm 0.0810 0.5549 0.3100 x18
In 0.0000 0.0000 0.5000 x3